Crystalline AcEuGaGe at its relaxed geometry, computed with PBE-GGA.

Structure (CIF):
```
data_AcEuGaGe
_cell_length_a 5.421
_cell_length_b 5.421
_cell_length_c 5.421
_cell_angle_alpha 60.00
_cell_angle_beta 60.00
_cell_angle_gamma 60.00
_space_group_name_H-M_alt 'P 1'
_space_group_IT_number 1
_space_group_name_Hall 'P 1'
loop_
_atom_site_label
_atom_site_fract_x
_atom_site_fract_y
_atom_site_fract_z
Ac1 0.000 0.000 0.000
Eu1 0.500 0.500 0.500
Ga1 0.750 0.750 0.750
Ge1 0.250 0.250 0.250
```

Values from the calculation:
The formation energy is -0.501 eV per atom. As for the space-group type: No. 216. Its total moment is 1.791 μB/atom. The value obtained for the total energy is -6.01 eV/atom.